(1)
The following is a DFT calculation (PBE) of an optimized crystal structure of HoUPa2C4.

abc: 3.580 6.185 6.149
angles: 70.38 90.00 90.00
Fractional positions:
1 Ho 0.000 0.500 0.500
2 U 0.500 0.500 0.000
3 Pa 0.000 0.000 0.000
4 Pa 0.500 0.000 0.500
5 C 0.000 0.742 0.764
6 C 0.000 0.258 0.236
7 C 0.500 0.754 0.232
8 C 0.500 0.246 0.768

Results
Its total energy is -9.307 eV/atom. The formation energy from the elements is -261.1 kJ/mol of formula units. Its total magnetization is 0.01 μB per formula unit.



(2)
The following is a DFT calculation (PBE) of an optimized crystal structure of HoZr2PaC4.

abc: 3.452 6.051 5.974
angles: 70.80 90.00 90.00
Fractional positions:
1 Ho 0.500 0.500 0.000
2 Zr 0.000 0.000 0.000
3 Zr 0.500 0.000 0.500
4 Pa 0.000 0.500 0.500
5 C 0.000 0.762 0.738
6 C 0.000 0.238 0.262
7 C 0.500 0.762 0.252
8 C 0.500 0.238 0.748

Results
Its total energy is -9.070 eV/atom. The formation energy from the elements is -433.8 kJ/mol of formula units. Its total magnetization is 0.00 μB per formula unit.



(3)
The following is a DFT calculation (PBE) of an optimized crystal structure of Ho10Pb4C3.

abc: 4.867 4.867 18.028
angles: 97.76 97.76 90.00
Fractional positions:
1 Ho 0.138 0.638 0.276
2 Ho 0.069 0.069 0.138
3 Ho 0.638 0.138 0.276
4 Ho 0.862 0.362 0.724
5 Ho 0.362 0.862 0.724
6 Ho 0.931 0.931 0.862
7 Ho 0.209 0.209 0.417
8 Ho 0.791 0.791 0.583
9 Ho 0.000 0.500 0.000
10 Ho 0.500 0.000 0.000
11 Pb 0.569 0.569 0.137
12 Pb 0.431 0.431 0.863
13 Pb 0.299 0.299 0.598
14 Pb 0.701 0.701 0.402
15 C 0.140 0.140 0.279
16 C 0.860 0.860 0.721
17 C 0.000 0.000 0.000

Results
Its total energy is -5.751 eV/atom. The formation energy from the elements is -914.6 kJ/mol of formula units. Its total magnetization is 0.00 μB per formula unit.



(4)
The following is a DFT calculation (PBE) of an optimized crystal structure of Ho8Pb2C3.

abc: 6.375 7.229 8.418
angles: 115.43 105.16 90.00
Fractional positions:
1 Ho 0.938 0.600 0.200
2 Ho 0.062 0.400 0.800
3 Ho 0.899 0.093 0.186
4 Ho 0.101 0.907 0.814
5 Ho 0.612 0.670 0.823
6 Ho 0.612 0.153 0.823
7 Ho 0.388 0.847 0.177
8 Ho 0.388 0.330 0.177
9 Pb 0.332 0.255 0.510
10 Pb 0.668 0.745 0.490
11 C 0.500 0.000 0.000
12 C 0.000 0.254 0.000
13 C 0.000 0.746 0.000

Results
Its total energy is -5.815 eV/atom. The formation energy from the elements is -375.4 kJ/mol of formula units. Its total magnetization is 0.00 μB per formula unit.



(5)
The following is a DFT calculation (PBE) of an optimized crystal structure of Ho6Pb2C.

abc: 6.907 6.907 9.780
angles: 90.00 90.01 90.00
Fractional positions:
1 Ho 0.000 0.000 0.255
2 Ho 0.755 0.755 0.500
3 Ho 0.745 0.745 0.000
4 Ho 0.755 0.245 0.500
5 Ho 0.745 0.255 0.000
6 Ho 0.500 0.500 0.245
7 Ho 0.000 0.000 0.745
8 Ho 0.245 0.245 0.500
9 Ho 0.255 0.255 0.000
10 Ho 0.245 0.755 0.500
11 Ho 0.255 0.745 0.000
12 Ho 0.500 0.500 0.755
13 Pb 0.000 0.500 0.750
14 Pb 0.500 0.000 0.750
15 Pb 0.500 0.000 0.250
16 Pb 0.000 0.500 0.250
17 C 0.500 0.500 0.000
18 C 0.000 0.000 0.500

Results
Its total energy is -5.307 eV/atom. The formation energy from the elements is -352.7 kJ/mol of formula units. The calculation puts the distance to the lowest polymorph of the same formula at 0.000 eV per atom. Its total magnetization is 0.00 μB per formula unit.



(6)
The following is a DFT calculation (PBE) of an optimized crystal structure of Ho5PbC.

abc: 6.728 6.728 10.408
angles: 71.29 71.29 59.09
Fractional positions:
1 Ho 0.985 0.634 0.118
2 Ho 0.180 0.579 0.542
3 Ho 0.634 0.985 0.618
4 Ho 0.973 0.027 0.250
5 Ho 0.421 0.820 0.958
6 Ho 0.579 0.180 0.042
7 Ho 0.027 0.973 0.750
8 Ho 0.366 0.015 0.382
9 Ho 0.820 0.421 0.458
10 Ho 0.015 0.366 0.882
11 Pb 0.495 0.505 0.250
12 Pb 0.505 0.495 0.750
13 C 0.000 0.000 0.000
14 C 0.000 0.000 0.500

Results
Its total energy is -5.302 eV/atom. The formation energy from the elements is -125.0 kJ/mol of formula units. Its total magnetization is 0.00 μB per formula unit.



(7)
The following is a DFT calculation (PBE) of an optimized crystal structure of Ho6PbC.

abc: 6.646 6.664 7.124
angles: 62.30 62.47 60.13
Fractional positions:
1 Ho 0.023 0.400 0.770
2 Ho 0.806 0.022 0.769
3 Ho 0.600 0.193 0.230
4 Ho 0.194 0.978 0.231
5 Ho 0.977 0.600 0.230
6 Ho 0.400 0.807 0.770
7 Pb 0.500 0.500 0.500
8 C 0.000 0.000 0.000

Results
Its total energy is -5.105 eV/atom. The formation energy from the elements is -42.3 kJ/mol of formula units. Its total magnetization is 0.00 μB per formula unit.



(8)
The following is a DFT calculation (PBE) of an optimized crystal structure of Ho6Pb3C2.

abc: 4.786 4.786 12.989
angles: 100.62 100.62 90.00
Fractional positions:
1 Ho 0.084 0.584 0.169
2 Ho 0.584 0.084 0.169
3 Ho 0.916 0.416 0.831
4 Ho 0.416 0.916 0.831
5 Ho 0.693 0.693 0.387
6 Ho 0.307 0.307 0.613
7 Pb 0.000 0.000 0.000
8 Pb 0.821 0.821 0.642
9 Pb 0.179 0.179 0.358
10 C 0.397 0.397 0.794
11 C 0.603 0.603 0.206

Results
Its total energy is -5.568 eV/atom. The formation energy from the elements is -405.8 kJ/mol of formula units. Its total magnetization is 0.00 μB per formula unit.



(9)
The following is a DFT calculation (PBE) of an optimized crystal structure of Ho3PbC.

abc: 4.892 4.892 4.892
angles: 90.00 90.00 90.00
Fractional positions:
1 Pb 0.000 0.000 0.000
2 C 0.500 0.500 0.500
3 Ho 0.000 0.500 0.500
4 Ho 0.500 0.500 0.000
5 Ho 0.500 0.000 0.500

Results
Its total energy is -5.885 eV/atom. The formation energy from the elements is -266.3 kJ/mol of formula units. Its total magnetization is 0.00 μB per formula unit.



(10)
The following is a DFT calculation (PBE) of an optimized crystal structure of Ho4Pb3C.

abc: 3.640 7.817 7.817
angles: 99.92 90.00 90.00
Fractional positions:
1 Ho 0.000 0.168 0.168
2 Ho 0.500 0.790 0.210
3 Ho 0.000 0.832 0.832
4 Ho 0.500 0.210 0.790
5 Pb 0.000 0.000 0.500
6 Pb 0.500 0.500 0.500
7 Pb 0.000 0.500 0.000
8 C 0.500 0.000 0.000

Results
Its total energy is -5.149 eV/atom. The formation energy from the elements is -244.0 kJ/mol of formula units. Its total magnetization is 0.00 μB per formula unit.



(11)
The following is a DFT calculation (PBE) of an optimized crystal structure of HoPbC.

abc: 4.418 3.846 9.271
angles: 101.97 103.79 90.00
Fractional positions:
1 Pb 0.705 0.205 0.410
2 Pb 0.295 0.795 0.590
3 C 0.644 0.500 0.000
4 C 0.356 0.500 0.000
5 Ho 0.101 0.601 0.202
6 Ho 0.899 0.399 0.798

Results
Its total energy is -5.696 eV/atom. The formation energy from the elements is 40.6 kJ/mol of formula units. Its total magnetization is 0.00 μB per formula unit.



(12)
The following is a DFT calculation (PBE) of an optimized crystal structure of Ho6Pb2C.

abc: 5.264 6.819 8.260
angles: 114.38 108.58 90.00
Last column: magnetic moment on the atom in μB.
Fractional positions:
1 Ho 0.135 0.378 0.269  0.16
2 Ho 0.865 0.109 0.731  0.16
3 Ho 0.865 0.622 0.731  0.16
4 Ho 0.500 0.233 0.000  0.44
5 Ho 0.135 0.891 0.269  0.16
6 Ho 0.500 0.767 0.000  0.44
7 Pb 0.679 0.679 0.359  -0.01
8 Pb 0.321 0.321 0.641  -0.01
9 C 0.000 0.000 0.000  -0.04

Results
Its total energy is -4.856 eV/atom. The formation energy from the elements is 38.6 kJ/mol of formula units. The calculation puts the distance to the lowest polymorph of the same formula at 0.451 eV per atom. Its total magnetization is 1.71 μB per formula unit.



(13)
The following is a DFT calculation (PBE) of an optimized crystal structure of Ho7Pb3C2.

abc: 4.855 4.855 13.269
angles: 100.54 100.54 90.00
Fractional positions:
1 Ho 0.000 0.000 0.000
2 Ho 0.905 0.405 0.809
3 Ho 0.405 0.905 0.809
4 Ho 0.095 0.595 0.191
5 Ho 0.595 0.095 0.191
6 Ho 0.193 0.193 0.385
7 Ho 0.807 0.807 0.615
8 Pb 0.318 0.318 0.635
9 Pb 0.682 0.682 0.365
10 Pb 0.500 0.500 0.000
11 C 0.097 0.097 0.194
12 C 0.903 0.903 0.806

Results
Its total energy is -5.694 eV/atom. The formation energy from the elements is -647.3 kJ/mol of formula units. Its total magnetization is 0.00 μB per formula unit.



(14)
The following is a DFT calculation (PBE) of an optimized crystal structure of Ho4PbC.

abc: 6.067 7.618 9.582
angles: 90.00 90.00 128.80
Fractional positions:
1 Ho 0.602 0.725 0.750
2 Ho 0.398 0.275 0.250
3 Ho 0.397 0.121 0.750
4 Ho 0.603 0.879 0.250
5 Ho 0.000 0.752 0.050
6 Ho 0.000 0.248 0.550
7 Ho 0.000 0.752 0.450
8 Ho 0.000 0.248 0.950
9 Pb 0.999 0.585 0.750
10 Pb 0.001 0.415 0.250
11 C 0.999 0.089 0.750
12 C 0.001 0.911 0.250

Results
Its total energy is -5.330 eV/atom. The formation energy from the elements is -71.3 kJ/mol of formula units. Its total magnetization is 0.00 μB per formula unit.



(15)
The following is a DFT calculation (PBE) of an optimized crystal structure of PmHo2PbC.

abc: 5.088 4.901 4.901
angles: 90.00 90.00 90.00
Fractional positions:
1 Pm 0.500 0.000 0.000
2 Ho 0.000 0.000 0.500
3 Ho 0.000 0.500 0.000
4 Pb 0.500 0.500 0.500
5 C 0.000 0.000 0.000

Results
Its total energy is -5.874 eV/atom. The formation energy from the elements is -244.5 kJ/mol of formula units. Its total magnetization is 0.00 μB per formula unit.



(16)
The following is a DFT calculation (PBE) of an optimized crystal structure of Pm2HoPbC.

abc: 4.900 5.093 5.093
angles: 90.00 90.00 90.00
Fractional positions:
1 Pm 0.000 0.000 0.500
2 Pm 0.000 0.500 0.000
3 Ho 0.500 0.000 0.000
4 Pb 0.500 0.500 0.500
5 C 0.000 0.000 0.000

Results
Its total energy is -5.872 eV/atom. The formation energy from the elements is -226.6 kJ/mol of formula units. Its total magnetization is 0.00 μB per formula unit.



(17)
The following is a DFT calculation (PBE) of an optimized crystal structure of PrHo2PbC.

abc: 5.179 4.911 4.911
angles: 90.00 90.00 90.00
Fractional positions:
1 Pr 0.500 0.000 0.000
2 Ho 0.000 0.000 0.500
3 Ho 0.000 0.500 0.000
4 Pb 0.500 0.500 0.500
5 C 0.000 0.000 0.000

Results
Its total energy is -5.847 eV/atom. The formation energy from the elements is -228.7 kJ/mol of formula units. Its total magnetization is 0.00 μB per formula unit.



(18)
The following is a DFT calculation (PBE) of an optimized crystal structure of Pr2HoPbC.

abc: 4.907 5.190 5.190
angles: 90.00 90.00 90.00
Fractional positions:
1 Pr 0.000 0.000 0.500
2 Pr 0.000 0.500 0.000
3 Ho 0.500 0.000 0.000
4 Pb 0.500 0.500 0.500
5 C 0.000 0.000 0.000

Results
Its total energy is -5.830 eV/atom. The formation energy from the elements is -200.8 kJ/mol of formula units. Its total magnetization is 0.00 μB per formula unit.



(19)
The following is a DFT calculation (PBE) of an optimized crystal structure of Ho2Sc2Pb2C.

abc: 4.566 4.566 8.556
angles: 105.47 105.47 90.00
Fractional positions:
1 Ho 0.156 0.156 0.312
2 Ho 0.844 0.844 0.688
3 Sc 0.000 0.500 0.000
4 Sc 0.500 0.000 0.000
5 Pb 0.361 0.361 0.723
6 Pb 0.639 0.639 0.277
7 C 0.000 0.000 0.000

Results
Its total energy is -6.169 eV/atom. The formation energy from the elements is -456.0 kJ/mol of formula units. Its total magnetization is 0.00 μB per formula unit.



(20)
The following is a DFT calculation (PBE) of an optimized crystal structure of Ho8Pb4CSe3.

abc: 7.831 9.010 7.853
angles: 116.09 119.91 90.00
Fractional positions:
1 Ho 0.214 0.692 0.978
2 Ho 0.214 0.692 0.428
3 Ho 0.262 0.286 0.523
4 Ho 0.764 0.692 0.978
5 Ho 0.236 0.308 0.022
6 Ho 0.738 0.714 0.477
7 Ho 0.786 0.308 0.572
8 Ho 0.786 0.308 0.022
9 Pb 0.500 0.000 0.000
10 Pb 0.500 0.000 0.500
11 Pb 0.000 0.000 0.000
12 Pb 0.000 0.000 0.500
13 C 0.000 0.500 0.000
14 Se 0.500 0.500 0.000
15 Se 0.500 0.500 0.500
16 Se 0.000 0.500 0.500

Results
Its total energy is -5.373 eV/atom. As for the formation energy from raw total energies: -0.928 eV/atom. Its total magnetization is 0.00 μB per formula unit.



(21)
The following is a DFT calculation (PBE) of an optimized crystal structure of Ho8Pb3CSe3.

abc: 7.906 7.903 8.899
angles: 116.35 90.00 120.02
Fractional positions:
1 Ho 0.262 0.524 0.285
2 Ho 0.738 0.476 0.715
3 Ho 0.790 0.579 0.309
4 Ho 0.210 0.421 0.691
5 Ho 0.790 0.019 0.309
6 Ho 0.210 0.981 0.691
7 Ho 0.229 0.019 0.309
8 Ho 0.771 0.981 0.691
9 Pb 0.000 0.000 0.000
10 Pb 0.000 0.500 0.000
11 Pb 0.500 0.500 0.000
12 C 0.000 0.000 0.500
13 Se 0.500 0.000 0.500
14 Se 0.500 0.500 0.500
15 Se 0.000 0.500 0.500

Results
Its total energy is -5.394 eV/atom. As for the formation energy from raw total energies: -0.899 eV/atom. Its total magnetization is 0.00 μB per formula unit.



(22)
The following is a DFT calculation (PBE) of an optimized crystal structure of Sm2HoPbC.

abc: 4.898 5.059 5.059
angles: 90.00 90.00 90.00
Fractional positions:
1 Sm 0.000 0.000 0.500
2 Sm 0.000 0.500 0.000
3 Ho 0.500 0.000 0.000
4 Pb 0.500 0.500 0.500
5 C 0.000 0.000 0.000

Results
Its total energy is -5.873 eV/atom. The formation energy from the elements is -233.2 kJ/mol of formula units. Its total magnetization is 0.00 μB per formula unit.



(23)
The following is a DFT calculation (PBE) of an optimized crystal structure of Tb3HoPb2C.

abc: 4.816 4.853 8.782
angles: 106.04 105.91 90.00
Fractional positions:
1 Tb 0.000 0.500 0.000
2 Tb 0.158 0.158 0.315
3 Tb 0.842 0.842 0.685
4 Ho 0.500 0.000 0.000
5 Pb 0.642 0.642 0.283
6 Pb 0.358 0.358 0.717
7 C 0.000 0.000 0.000

Results
Its total energy is -5.569 eV/atom. The formation energy from the elements is -373.9 kJ/mol of formula units. Its total magnetization is 0.00 μB per formula unit.